1.
Tl15In4Ga PBE-GGA relaxed; symmetry = P4/mmm (123); energy of formation from the pure elements = 0.6 eV per formula unit; total DFT energy (no corrections) = -48.873 eV for the cell shown
1.0
5.549 0.000 0.000
0.000 5.549 0.000
0.000 0.000 19.217
Tl In Ga
15 4 1
direct
0.000 0.000 0.000
0.000 0.000 0.198
0.000 0.000 0.399
0.000 0.000 0.601
0.000 0.000 0.802
0.000 0.500 0.096
0.000 0.500 0.298
0.000 0.500 0.500
0.000 0.500 0.702
0.000 0.500 0.904
0.500 0.000 0.096
0.500 0.000 0.298
0.500 0.000 0.500
0.500 0.000 0.702
0.500 0.000 0.904
0.500 0.500 0.195
0.500 0.500 0.399
0.500 0.500 0.601
0.500 0.500 0.805
0.500 0.500 0.000

***

2.
ScPaOsRu PBE-GGA relaxed; symmetry = F-43m (216); energy of formation from the pure elements = -1.8 eV per formula unit; total DFT energy (no corrections) = -38.156 eV for the cell shown
1.0
0.000 3.344 3.344
3.344 0.000 3.344
3.344 3.344 0.000
Sc Pa Os Ru
1 1 1 1
direct
0.000 0.000 0.000
0.500 0.500 0.500
0.750 0.750 0.750
0.250 0.250 0.250

***

3.
CdCu2RhN PBE-GGA relaxed; symmetry = P4/mmm (123); total DFT energy (no corrections) = -23.866 eV for the cell shown; raw formation energy = 0.1837 eV/atom
1.0
3.932 0.000 0.000
0.000 3.932 0.000
0.000 0.000 4.236
Cd Cu Rh N
1 2 1 1
direct
0.000 0.000 0.000
0.000 0.500 0.500
0.500 0.000 0.500
0.500 0.500 0.000
0.500 0.500 0.500